UV2O6 | GGA+U | relaxed

CIF file:
```
data_UV2O6
_chemical_formula_sum 'U1 V2 O6'
_space_group_name_H-M_alt 'P -3 1 m'
_space_group_IT_number 162
_space_group_name_Hall '-P 3 2'
_cell_length_a 5.1262
_cell_length_b 5.1262
_cell_length_c 4.6989
_cell_angle_alpha 90.00
_cell_angle_beta 90.00
_cell_angle_gamma 120.00
loop_
_atom_site_label
_atom_site_fract_x
_atom_site_fract_y
_atom_site_fract_z
_atom_site_occupancy
U1 0.0000 0.0000 0.0000 1
V1 0.3333 0.6667 0.5000 1
O1 0.0000 0.3366 0.2619 1
```

magnetization	4.034	μB/cell
energy	-78.649	eV per cell

---

UVO2 | GGA+U | relaxed

CIF file:
```
data_UVO2
_chemical_formula_sum 'U3 V3 O6'
_space_group_name_H-M_alt 'R -3 m'
_space_group_IT_number 166
_space_group_name_Hall '-R 3 2"'
_cell_length_a 3.3276
_cell_length_b 3.3276
_cell_length_c 18.6640
_cell_angle_alpha 90.00
_cell_angle_beta 90.00
_cell_angle_gamma 120.00
loop_
_atom_site_label
_atom_site_fract_x
_atom_site_fract_y
_atom_site_fract_z
_atom_site_occupancy
U1 0.0000 0.0000 0.0000 1
V1 0.0000 0.0000 0.5000 1
O1 0.0000 0.0000 0.1120 1
```

magnetization	14.901	μB/cell
energy	-107.131	eV per cell